i | ## AlReSn2Pt (GGA-PBE)

Data for a geometry-optimized AlReSn2Pt structure.

Unit cell a=5.035 b=5.035 c=5.251 alpha=90.00 beta=90.00 gamma=90.00
Space group P4/mmm (No. 123)
Symmetry-distinct sites (fractional):
Al 0.000 0.000 0.000
Re 0.500 0.500 0.000
Sn 0.000 0.500 0.500
Pt 0.500 0.500 0.500

N(E_F) = 3.10 states/eV/cell
Spin magnetization = 3.205 μB/f.u.
Calculated density = 8.1 g/cm³


ii | ## AlReSn2Pt (GGA-PBE)

Data for a geometry-optimized AlReSn2Pt structure.

Unit cell a=5.178 b=5.178 c=4.639 alpha=90.00 beta=90.00 gamma=90.00
Space group P4/mmm (No. 123)
Symmetry-distinct sites (fractional):
Al 0.000 0.000 0.000
Re 0.500 0.500 0.000
Sn 0.000 0.500 0.500
Pt 0.000 0.000 0.500

N(E_F) = 4.44 states/eV/cell
Spin magnetization = 2.864 μB/f.u.
Calculated density = 8.6 g/cm³


Most stable to least stable, the ends of the list are ii and i.


i | ## AlPtRh4 (GGA-PBE)

Data for a geometry-optimized AlPtRh4 structure.

Unit cell a=5.209 b=5.219 c=7.244 alpha=96.65 beta=95.11 gamma=116.65
Space group P-1 (No. 2)
Symmetry-distinct sites (fractional):
Al 0.176 0.427 0.217
Pt 0.010 0.266 0.559
Rh 0.149 0.902 0.109
Rh 0.325 0.068 0.778
Rh 0.356 0.597 0.887
Rh 0.485 0.238 0.449

N(E_F) = 16.67 states/eV/cell
Spin magnetization = 0.000 μB/f.u.
Calculated density = 12.2 g/cm³


ii | ## AlPtRh4 (GGA-PBE)

Data for a geometry-optimized AlPtRh4 structure.

Unit cell a=7.192 b=7.192 c=7.192 alpha=90.00 beta=90.00 gamma=90.00
Space group F-43m (No. 216)
Symmetry-distinct sites (fractional):
Al 0.000 0.000 0.000
Pt 0.250 0.250 0.750
Rh 0.125 0.125 0.375

N(E_F) = 46.91 states/eV/cell
Spin magnetization = 1.087 μB/f.u.
Calculated density = 11.3 g/cm³


Most stable to least stable, the ends of the list are i and ii.


i | ## AlRuPt3 (GGA-PBE)

Data for a geometry-optimized AlRuPt3 structure.

Unit cell a=4.523 b=4.523 c=4.523 alpha=90.00 beta=90.00 gamma=90.00
Space group Pm-3m (No. 221)
Symmetry-distinct sites (fractional):
Al 0.000 0.000 0.000
Ru 0.500 0.500 0.500
Pt 0.000 0.000 0.500

N(E_F) = 4.74 states/eV/cell
Spin magnetization = 2.979 μB/f.u.
Calculated density = 12.8 g/cm³


ii | ## AlRuPt3 (GGA-PBE)

Data for a geometry-optimized AlRuPt3 structure.

Unit cell a=4.795 b=4.795 c=4.795 alpha=90.00 beta=90.00 gamma=90.00
Space group Pm-3m (No. 221)
Symmetry-distinct sites (fractional):
Al 0.000 0.000 0.000
Ru 0.500 0.500 0.500
Pt 0.000 0.500 0.500

N(E_F) = 5.85 states/eV/cell
Spin magnetization = 0.000 μB/f.u.
Calculated density = 10.7 g/cm³


Most stable to least stable, the ends of the list are i and ii.


i | ## Al2SbRuPt (GGA-PBE)

Data for a geometry-optimized Al2SbRuPt structure.

Unit cell a=4.654 b=4.654 c=4.912 alpha=90.00 beta=90.00 gamma=90.00
Space group P4/mmm (No. 123)
Symmetry-distinct sites (fractional):
Al 0.000 0.500 0.000
Sb 0.000 0.000 0.500
Ru 0.000 0.000 0.000
Pt 0.500 0.500 0.500

N(E_F) = 1.82 states/eV/cell
Spin magnetization = 0.000 μB/f.u.
Calculated density = 7.4 g/cm³


ii | ## Al2SbRuPt (GGA-PBE)

Data for a geometry-optimized Al2SbRuPt structure.

Unit cell a=4.649 b=4.649 c=5.113 alpha=90.00 beta=90.00 gamma=90.00
Space group P4/mmm (No. 123)
Symmetry-distinct sites (fractional):
Al 0.000 0.500 0.000
Sb 0.000 0.000 0.500
Ru 0.500 0.500 0.500
Pt 0.500 0.500 0.000

N(E_F) = 2.75 states/eV/cell
Spin magnetization = 1.905 μB/f.u.
Calculated density = 7.1 g/cm³


Most stable to least stable, the ends of the list are i and ii.


i | ## AlPt3S (GGA-PBE)

Data for a geometry-optimized AlPt3S structure.

Unit cell a=4.588 b=4.588 c=4.588 alpha=90.00 beta=90.00 gamma=90.00
Space group Pm-3m (No. 221)
Symmetry-distinct sites (fractional):
Al 0.000 0.000 0.000
Pt 0.000 0.000 0.500
S 0.500 0.500 0.500

N(E_F) = 5.58 states/eV/cell
Spin magnetization = 0.000 μB/f.u.
Calculated density = 11.1 g/cm³


ii | ## AlPt3S (GGA-PBE)

Data for a geometry-optimized AlPt3S structure.

Unit cell a=4.531 b=4.531 c=4.531 alpha=90.00 beta=90.00 gamma=90.00
Space group Pm-3m (No. 221)
Symmetry-distinct sites (fractional):
Al 0.000 0.000 0.000
Pt 0.000 0.500 0.500
S 0.500 0.500 0.500

N(E_F) = 6.27 states/eV/cell
Spin magnetization = 0.000 μB/f.u.
Calculated density = 11.5 g/cm³


Most stable to least stable, the ends of the list are ii and i.


i | ## AlSb3Pt (GGA-PBE)

Data for a geometry-optimized AlSb3Pt structure.

Unit cell a=5.291 b=5.291 c=5.291 alpha=90.00 beta=90.00 gamma=90.00
Space group Pm-3m (No. 221)
Symmetry-distinct sites (fractional):
Al 0.000 0.000 0.000
Sb 0.000 0.500 0.500
Pt 0.500 0.500 0.500

N(E_F) = 5.27 states/eV/cell
Spin magnetization = 0.000 μB/f.u.
Calculated density = 6.6 g/cm³


ii | ## AlSb3Pt (GGA-PBE)

Data for a geometry-optimized AlSb3Pt structure.

Unit cell a=5.114 b=5.114 c=5.114 alpha=90.00 beta=90.00 gamma=90.00
Space group Pm-3m (No. 221)
Symmetry-distinct sites (fractional):
Al 0.000 0.000 0.000
Sb 0.000 0.000 0.500
Pt 0.500 0.500 0.500

N(E_F) = 1.96 states/eV/cell
Spin magnetization = 0.000 μB/f.u.
Calculated density = 7.3 g/cm³


Most stable to least stable, the ends of the list are i and ii.


i | ## Al2SbPt2 (GGA-PBE)

Data for a geometry-optimized Al2SbPt2 structure.

Unit cell a=7.694 b=7.694 c=2.883 alpha=90.00 beta=90.00 gamma=90.00
Space group P4/mbm (No. 127)
Symmetry-distinct sites (fractional):
Al 0.145 0.355 0.000
Sb 0.000 0.000 0.500
Pt 0.147 0.647 0.500

N(E_F) = 4.18 states/eV/cell
Spin magnetization = 0.000 μB/f.u.
Calculated density = 11.0 g/cm³


ii | ## Al2SbPt2 (GGA-PBE)

Data for a geometry-optimized Al2SbPt2 structure.

Unit cell a=3.897 b=3.897 c=12.013 alpha=90.00 beta=90.00 gamma=90.00
Space group I4/mmm (No. 139)
Symmetry-distinct sites (fractional):
Al 0.000 0.500 0.250
Sb 0.000 0.000 0.000
Pt 0.000 0.000 0.381

N(E_F) = 4.24 states/eV/cell
Spin magnetization = 0.000 μB/f.u.
Calculated density = 10.3 g/cm³


Most stable to least stable, the ends of the list are ii and i.


i | ## Al2Sb2Pt (GGA-PBE)

Data for a geometry-optimized Al2Sb2Pt structure.

Unit cell a=4.002 b=4.002 c=14.542 alpha=90.00 beta=90.00 gamma=90.00
Space group I4/mmm (No. 139)
Symmetry-distinct sites (fractional):
Al 0.000 0.000 0.086
Sb 0.000 0.500 0.250
Pt 0.000 0.000 0.500

N(E_F) = 5.41 states/eV/cell
Spin magnetization = 0.000 μB/f.u.
Calculated density = 7.0 g/cm³


ii | ## Al2Sb2Pt (GGA-PBE)

Data for a geometry-optimized Al2Sb2Pt structure.

Unit cell a=6.670 b=6.670 c=4.680 alpha=90.00 beta=90.00 gamma=90.00
Space group P4/mbm (No. 127)
Symmetry-distinct sites (fractional):
Al 0.140 0.360 0.000
Sb 0.178 0.678 0.500
Pt 0.000 0.000 0.000

N(E_F) = 3.31 states/eV/cell
Spin magnetization = 0.000 μB/f.u.
Calculated density = 7.9 g/cm³


Most stable to least stable, the ends of the list are ii and i.